# Er3CuNi8, relaxed, DFT PBE
data_Er3CuNi8
_cell_length_a 4.9436
_cell_length_b 4.9436
_cell_length_c 24.2644
_cell_angle_alpha 90.00
_cell_angle_beta 90.00
_cell_angle_gamma 120.00
_symmetry_space_group_name_H-M 'R 3 m'
_symmetry_Int_Tables_number 160
_symmetry_space_group_name_Hall 'R 3 -2"'
loop_
_atom_site_label
_atom_site_type_symbol
_atom_site_fract_x
_atom_site_fract_y
_atom_site_fract_z
Er1 Er 0.0000 0.0000 0.0000
Er2 Er 0.0000 0.0000 0.1302
Er3 Er 0.0000 0.0000 0.5184
Cu1 Cu 0.0000 0.0000 0.6383
Ni1 Ni 0.0000 0.0000 0.3192
Ni2 Ni 0.0000 0.0000 0.8195
Ni3 Ni 0.1679 0.3357 0.4019
Ni4 Ni 0.1683 0.3367 0.9035
# calculated volume = 514 Å³/cell
# total magnetization = 0.00 μB per cell
# E_form = -407.7 meV per atom

***

# InCuBi2, relaxed, DFT PBE
data_InCuBi2
_cell_length_a 4.3110
_cell_length_b 4.3110
_cell_length_c 20.6969
_cell_angle_alpha 90.00
_cell_angle_beta 90.00
_cell_angle_gamma 120.00
_symmetry_space_group_name_H-M 'R 3 m'
_symmetry_Int_Tables_number 160
_symmetry_space_group_name_Hall 'R 3 -2"'
loop_
_atom_site_label
_atom_site_type_symbol
_atom_site_fract_x
_atom_site_fract_y
_atom_site_fract_z
In1 In 0.0000 0.0000 0.0000
Cu1 Cu 0.0000 0.0000 0.1628
Bi1 Bi 0.0000 0.0000 0.5596
Bi2 Bi 0.0000 0.0000 0.7693
# calculated volume = 333 Å³/cell
# total magnetization = 0.00 μB per cell
# E_form = 136.7 meV per atom

***

# V7Co16Ni6, relaxed, DFT PBE
data_V7Co16Ni6
_cell_length_a 11.1368
_cell_length_b 11.1368
_cell_length_c 11.1368
_cell_angle_alpha 90.00
_cell_angle_beta 90.00
_cell_angle_gamma 90.00
_symmetry_space_group_name_H-M 'F m -3 m'
_symmetry_Int_Tables_number 225
_symmetry_space_group_name_Hall '-F 4 2 3'
loop_
_atom_site_label
_atom_site_type_symbol
_atom_site_fract_x
_atom_site_fract_y
_atom_site_fract_z
V1 V 0.0000 0.0000 0.0000
V2 V 0.0000 0.2500 0.2500
Co1 Co 0.1181 0.1181 0.1181
Co2 Co 0.1675 0.1675 0.3325
Ni1 Ni 0.0000 0.0000 0.2916
# calculated volume = 1381 Å³/cell
# total magnetization = 36.96 μB per cell
# E_form = 111.1 meV per atom

***

# Ba8Bi3SbBr4, relaxed, DFT PBE
data_Ba8Bi3SbBr4
_cell_length_a 10.1477
_cell_length_b 10.1477
_cell_length_c 23.9804
_cell_angle_alpha 90.00
_cell_angle_beta 90.00
_cell_angle_gamma 120.00
_symmetry_space_group_name_H-M 'R -3 m'
_symmetry_Int_Tables_number 166
_symmetry_space_group_name_Hall '-R 3 2"'
loop_
_atom_site_label
_atom_site_type_symbol
_atom_site_fract_x
_atom_site_fract_y
_atom_site_fract_z
Ba1 Ba 0.0000 0.0000 0.2450
Ba2 Ba 0.0033 0.5016 0.2443
Bi1 Bi 0.0000 0.5000 0.5000
Sb1 Sb 0.0000 0.0000 0.5000
Br1 Br 0.0000 0.0000 0.0000
Br2 Br 0.0000 0.5000 0.0000
# total energy = -3.81 eV/atom
# calculated volume = 2138 Å³/cell
# total magnetization = 0.00 μB per cell

***

Which of these has the lowest calculated volume? InCuBi2